(1)
This record from Alexandria via LeMat-Bulk describes KFeSn2 after structural relaxation. The functional is PBE.

a b c (Å): 6.4585 6.4585 8.3790
angles (deg): 67.33 67.33 90.00
With the nearest neighbours (Å) after each atom.
Fractional positions:
K 0.5000 0.5000 0.0000  8 Sn 4.01-4.02
K 0.2500 0.7500 0.5000  8 Sn 4.01-4.02
Sn 0.8749 0.1250 0.2500  2 Fe 2.39
Sn 0.8751 0.6250 0.2500  2 Fe 2.39
Sn 0.3750 0.1251 0.7500  2 Fe 2.39
Sn 0.8750 0.1249 0.7500  2 Fe 2.39
Fe 0.0000 0.0000 0.0000  4 Sn 2.39
Fe 0.7500 0.2500 0.5000  4 Sn 2.39

Summary:
Final energy (Ry per atom): -0.3050
Magnetization (Bohr magnetons per cell): 0.00
DFT formation energy (eV per atom): 0.242
Fermi-level density of states (states/eV/atom): 0.72



(2)
This record from Alexandria via LeMat-Bulk describes KFe2Sn2 after structural relaxation. The functional is PBE.

a b c (Å): 4.8805 4.8805 5.9683
angles (deg): 65.87 65.87 90.00
With the nearest neighbours (Å) after each atom.
Fractional positions:
K 0.0000 0.0000 0.0000  8 Sn 3.45, 10 Fe 3.62-3.76
Sn 0.7500 0.2500 0.5000  4 Fe 2.78
Sn 0.2500 0.7500 0.5000  4 Fe 2.78
Fe 0.3864 0.3864 0.2272  1 Fe 2.21
Fe 0.6136 0.6136 0.7728  1 Fe 2.21

Summary:
Final energy (Ry per atom): -0.3560
Magnetization (Bohr magnetons per cell): 4.13
DFT formation energy (eV per atom): 0.362
Fermi-level density of states (states/eV/atom): 0.71



(3)
This record from Alexandria via LeMat-Bulk describes KFeSn3 after structural relaxation. The functional is PBE.

a b c (Å): 5.0659 5.0659 5.0659
angles (deg): 90.00 90.00 90.00
With the nearest neighbours (Å) after each atom.
Fractional positions:
K 0.5000 0.5000 0.5000  12 Sn 3.58
Sn 0.0000 0.5000 0.0000  2 Fe 2.53
Sn 0.0000 0.0000 0.5000  2 Fe 2.53
Sn 0.5000 0.0000 0.0000  2 Fe 2.53
Fe 0.0000 0.0000 0.0000  6 Sn 2.53

Summary:
Energy above the lowest structure with this stoichiometry (eV per atom): 0.0000
Final energy (Ry per atom): -0.3081
Magnetization (Bohr magnetons per cell): 0.00
DFT formation energy (eV per atom): 0.122
Fermi-level density of states (states/eV/atom): 1.91



(4)
This record from Alexandria via LeMat-Bulk describes KFe3Sn after structural relaxation. The functional is PBE.

a b c (Å): 4.5895 4.5895 4.5895
angles (deg): 90.00 90.00 90.00
With the nearest neighbours (Å) after each atom.
Fractional positions:
K 0.0000 0.0000 0.0000  6 Fe 2.29
Sn 0.5000 0.5000 0.5000  12 Fe 3.25
Fe 0.0000 0.5000 0.0000  2 K 2.29
Fe 0.0000 0.0000 0.5000  2 K 2.29
Fe 0.5000 0.0000 0.0000  2 K 2.29

Summary:
Energy above the lowest structure with this stoichiometry (eV per atom): 0.9639
Final energy (Ry per atom): -0.2892
Magnetization (Bohr magnetons per cell): 7.83
DFT formation energy (eV per atom): 2.162
Fermi-level density of states (states/eV/atom): 0.84



(5)
This record from Alexandria via LeMat-Bulk describes KFeSn2 after structural relaxation. The functional is PBE.

a b c (Å): 5.1267 5.1267 5.1267
angles (deg): 60.00 60.00 60.00
With the nearest neighbours (Å) after each atom.
Fractional positions:
K 0.0000 0.0000 0.0000  8 Sn 3.14
Sn 0.2500 0.2500 0.2500  4 Fe 3.14, 4 K 3.14
Sn 0.7500 0.7500 0.7500  4 Fe 3.14, 4 K 3.14
Fe 0.5000 0.5000 0.5000  8 Sn 3.14

Summary:
Final energy (Ry per atom): -0.2748
Magnetization (Bohr magnetons per cell): 0.00
DFT formation energy (eV per atom): 0.652
Fermi-level density of states (states/eV/atom): 1.72



(6)
This record from Alexandria via LeMat-Bulk describes KFeSn3 after structural relaxation. The functional is PBE.

a b c (Å): 5.6662 5.6662 5.6662
angles (deg): 90.00 90.00 90.00
With the nearest neighbours (Å) after each atom.
Fractional positions:
K 0.0000 0.0000 0.0000  6 Sn 2.83
Sn 0.0000 0.5000 0.0000  2 K 2.83
Sn 0.0000 0.0000 0.5000  2 K 2.83
Sn 0.5000 0.0000 0.0000  2 K 2.83
Fe 0.5000 0.5000 0.5000  12 Sn 4.01

Summary:
Energy above the lowest structure with this stoichiometry (eV per atom): 1.6024
Final energy (Ry per atom): -0.1903
Magnetization (Bohr magnetons per cell): 3.24
DFT formation energy (eV per atom): 1.725
Fermi-level density of states (states/eV/atom): 1.62



(7)
This record from Alexandria via LeMat-Bulk describes KFe3Sn after structural relaxation. The functional is PBE.

a b c (Å): 5.0381 5.0381 5.0381
angles (deg): 90.00 90.00 90.00
With the nearest neighbours (Å) after each atom.
Fractional positions:
K 0.5000 0.5000 0.5000  12 Fe 3.56
Sn 0.0000 0.0000 0.0000  6 Fe 2.52
Fe 0.0000 0.5000 0.0000  2 Sn 2.52
Fe 0.0000 0.0000 0.5000  2 Sn 2.52
Fe 0.5000 0.0000 0.0000  2 Sn 2.52

Summary:
Energy above the lowest structure with this stoichiometry (eV per atom): 0.0000
Final energy (Ry per atom): -0.3601
Magnetization (Bohr magnetons per cell): 8.88
DFT formation energy (eV per atom): 1.199
Fermi-level density of states (states/eV/atom): 0.81



(8)
This record from Alexandria via LeMat-Bulk describes KFe2SnTe after structural relaxation. The functional is PBE.

a b c (Å): 5.0052 6.2137 5.0052
angles (deg): 90.00 90.00 90.00
With the nearest neighbours (Å) after each atom.
Fractional positions:
K 0.0000 0.5000 0.0000  2 Sn 3.11
Te 0.5000 0.5000 0.5000  4 K 3.54
Sn 0.0000 0.0000 0.0000  4 Fe 2.50
Fe 0.0000 0.0000 0.5000  2 Sn 2.50
Fe 0.5000 0.0000 0.0000  2 Sn 2.50

Summary:
Final energy (Ry per atom): -0.3072
Magnetization (Bohr magnetons per cell): 6.59
Fermi-level density of states (states/eV/atom): 1.53



(9)
This record from Alexandria via LeMat-Bulk describes KZnFeSn2 after structural relaxation. The functional is PBE.

a b c (Å): 4.9640 4.9640 4.9666
angles (deg): 90.00 90.00 90.00
With the nearest neighbours (Å) after each atom.
Fractional positions:
K 0.5000 0.5000 0.5000  4 Zn 3.51, 8 Sn 3.51
Zn 0.0000 0.0000 0.5000  2 Fe 2.48
Sn 0.0000 0.5000 0.0000  2 Fe 2.48
Sn 0.5000 0.0000 0.0000  2 Fe 2.48
Fe 0.0000 0.0000 0.0000  4 Sn 2.48, 2 Zn 2.48

Summary:
Final energy (Ry per atom): -0.2745
Magnetization (Bohr magnetons per cell): 1.08
DFT formation energy (eV per atom): 0.033
Fermi-level density of states (states/eV/atom): 0.46



(10)
This record from Alexandria via LeMat-Bulk describes KSrFe3 after structural relaxation. The functional is PBE.

a b c (Å): 5.1943 5.1943 5.1943
angles (deg): 90.00 90.00 90.00
With the nearest neighbours (Å) after each atom.
Fractional positions:
Sr 0.5000 0.5000 0.5000  12 Fe 3.67
K 0.0000 0.0000 0.0000  6 Fe 2.60
Fe 0.0000 0.5000 0.0000  2 K 2.60
Fe 0.0000 0.0000 0.5000  2 K 2.60
Fe 0.5000 0.0000 0.0000  2 K 2.60

Summary:
Energy above the lowest structure with this stoichiometry (eV per atom): 0.0175
Final energy (Ry per atom): -0.2714
Magnetization (Bohr magnetons per cell): 9.19
DFT formation energy (eV per atom): 1.941
Fermi-level density of states (states/eV/atom): 0.97



(11)
This record from Alexandria via LeMat-Bulk describes KSrFe3 after structural relaxation. The functional is PBE.

a b c (Å): 5.5427 5.5427 5.5427
angles (deg): 90.00 90.00 90.00
With the nearest neighbours (Å) after each atom.
Fractional positions:
Sr 0.0000 0.0000 0.0000  6 Fe 2.77
K 0.5000 0.5000 0.5000  12 Fe 3.92
Fe 0.0000 0.5000 0.0000  2 Sr 2.77
Fe 0.0000 0.0000 0.5000  2 Sr 2.77
Fe 0.5000 0.0000 0.0000  2 Sr 2.77

Summary:
Energy above the lowest structure with this stoichiometry (eV per atom): 0.0000
Final energy (Ry per atom): -0.2726
Magnetization (Bohr magnetons per cell): 9.05
DFT formation energy (eV per atom): 1.924
Fermi-level density of states (states/eV/atom): 3.92



(12)
This record from Alexandria via LeMat-Bulk describes K3SrFe after structural relaxation. The functional is PBE.

a b c (Å): 6.5847 6.5847 6.5847
angles (deg): 90.00 90.00 90.00
With the nearest neighbours (Å) after each atom.
Fractional positions:
Sr 0.5000 0.5000 0.5000  12 K 4.66
K 0.0000 0.5000 0.0000  2 Fe 3.29
K 0.0000 0.0000 0.5000  2 Fe 3.29
K 0.5000 0.0000 0.0000  2 Fe 3.29
Fe 0.0000 0.0000 0.0000  6 K 3.29

Summary:
Final energy (Ry per atom): -0.1399
Magnetization (Bohr magnetons per cell): 2.27
DFT formation energy (eV per atom): 0.784
Fermi-level density of states (states/eV/atom): 2.59